No. 1
5
Lattice="-3.8297 3.9518 2.1721 -0.3582 -2.1133 3.2132 4.4759 2.9845 2.4617" Properties=species:S:1:pos:R:3 comment="PBE Ca2HfIrO, relaxed" spacegroup="No. 123" total_energy_ry_per_atom=-0.404 total_magnetization_mub_per_fu=0.00 pbc="T T T"
Ca 2.2380 1.4923 1.2309
Ca -1.9149 1.9759 1.0861
Ir 0.1440 2.4115 3.9236
Hf 0.0000 0.0000 0.0000
O -0.1791 -1.0566 1.6066

***

No. 2
4
Lattice="-2.5726 -0.4713 1.4865 2.2383 -1.1162 1.6717 0.6959 6.0929 3.1364" Properties=species:S:1:pos:R:3 comment="PBE AlCuP2, relaxed" spacegroup="No. 65" total_energy_ry_per_atom=-0.324 formation_enthalpy_0k_ev_per_atom=0.257 total_magnetization_mub_per_fu=0.00 pbc="T T T"
P 0.6915 6.0541 3.1164
P 0.3524 3.0852 1.5882
Al 0.0068 0.7295 2.3632
Cu 0.3548 3.7759 3.9313

***

No. 3
18
Lattice="-2.7132 7.6498 -1.9840 -8.1094 2.1323 1.7169 -0.9415 5.8349 6.1907" Properties=species:S:1:pos:R:3 comment="PBE NaBAs, relaxed" spacegroup="No. 46" total_energy_ry_per_atom=-0.301 formation_enthalpy_0k_ev_per_atom=0.125 total_magnetization_mub_per_fu=0.00 pbc="T T T"
Na -8.3117 6.4611 3.2141
Na -3.1248 8.2321 2.9491
Na -6.2519 6.5381 -0.1499
Na -5.3148 8.5219 6.2180
Na -4.9327 11.5194 3.1252
Na -8.8125 9.6829 1.3499
B -5.7840 7.5319 3.0335
B -1.2585 3.5483 -0.9202
B -2.4256 7.7089 5.5025
B -8.1587 4.5815 1.2839
B -5.7165 5.8430 2.8082
B -4.8678 6.4475 3.9782
As -6.2295 4.3283 1.6430
As -3.7421 6.2346 5.5914
As -6.8772 9.2233 3.7063
As -5.8232 9.0334 1.5327
As -10.1068 13.1420 5.6375
As -2.5937 5.1147 -0.3985

***

No. 4
16
Lattice="-4.9755 -0.9718 4.0014 -5.0940 -5.1161 -2.3645 3.6381 -9.1349 7.5174" Properties=species:S:1:pos:R:3 comment="PBE Rb2SbAuS4, relaxed" spacegroup="No. 70" total_energy_ry_per_atom=-0.274 total_magnetization_mub_per_fu=0.00 pbc="T T T"
Rb 1.4295 -6.0166 5.5284
Rb -2.7669 -4.0901 5.9904
Rb -2.2509 -10.9727 7.5665
Rb -6.6682 -4.7360 3.5885
Sb -1.9718 -7.3684 3.5768
Sb -2.4878 -0.4859 2.0007
Au -4.4596 -7.8543 5.5775
Au 0.0000 0.0000 0.0000
S -5.3012 -5.3617 0.2434
S 1.0529 -9.4347 7.1552
S -5.1542 -13.0762 8.3386
S -3.4603 -2.5730 2.5714
S -4.2524 -7.6087 2.9696
S -1.8743 -7.5545 5.9397
S -5.7368 -10.0009 6.3932
S -0.9993 -5.2814 3.0061

***

No. 5
5
Lattice="4.1776 0.0000 0.0000 0.0000 4.1776 0.0000 0.0000 0.0000 3.0995" Properties=species:S:1:pos:R:3 comment="PBE SnHSN2, relaxed" spacegroup="No. 123" total_energy_ry_per_atom=-0.289 total_magnetization_mub_per_fu=0.49 pbc="T T T"
H 0.0000 0.0000 0.0000
S 0.0000 0.0000 1.5497
Sn 2.0888 2.0888 1.5497
N 0.0000 2.0888 0.0000
N 2.0888 0.0000 0.0000

***

No. 6
5
Lattice="-2.1810 3.0353 3.0956 1.7065 -2.5845 3.7365 3.9855 2.7677 0.0942" Properties=species:S:1:pos:R:3 comment="PBE ZrHg3F, relaxed" spacegroup="No. 221" total_energy_ry_per_atom=-0.165 total_magnetization_mub_per_fu=1.58 pbc="T T T"
Hg 0.8533 -1.2922 1.8682
Hg 1.9927 1.3839 0.0471
Hg -1.0905 1.5177 1.5478
Zr 1.7555 1.6093 3.4631
F 0.0000 0.0000 0.0000

***

No. 7
6
Lattice="-0.5526 4.3678 -0.8402 -3.8279 -0.8982 -2.1516 -4.1914 0.8370 7.1076" Properties=species:S:1:pos:R:3 comment="PBE AcScGe, relaxed" spacegroup="No. 129" total_energy_ry_per_atom=-0.416 formation_enthalpy_0k_ev_per_atom=-0.638 total_magnetization_mub_per_fu=0.53 pbc="T T T"
Ac -5.4730 0.2616 4.9595
Ac -0.9087 2.3102 0.6523
Sc -4.2860 2.1533 2.0579
Sc -2.0957 0.4185 3.5538
Ge -3.0999 -0.2123 0.9353
Ge -3.2817 2.7840 4.6764

***

No. 8
4
Lattice="7.4337 0.0480 0.0986 -2.7889 3.5400 0.0496 1.8558 1.4448 2.9661" Properties=species:S:1:pos:R:3 comment="PBE LiZnHg2, relaxed" spacegroup="No. 12" total_energy_ry_per_atom=-0.081 formation_enthalpy_0k_ev_per_atom=-0.156 total_magnetization_mub_per_fu=0.00 pbc="T T T"
Zn 2.3224 1.7940 0.0741
Hg 0.0000 0.0000 0.0000
Hg 4.6447 0.7464 1.5323
Li -0.4666 2.4924 1.5078

***

No. 9
16
Lattice="-0.1828 -2.6658 -6.5389 1.0077 -2.0592 6.6814 -6.9302 1.2438 0.5670" Properties=species:S:1:pos:R:3 comment="PBE Mn10CuGe5, relaxed" spacegroup="No. 97" total_energy_ry_per_atom=-0.549 formation_enthalpy_0k_ev_per_atom=-0.039 total_magnetization_mub_per_fu=25.59 pbc="T T T"
Mn -3.5565 -0.7110 -2.9859
Mn -2.9613 -0.4077 3.6242
Mn -1.8554 -1.5805 -0.7401
Mn -4.6569 0.4310 1.3793
Mn -5.1774 -2.0284 2.5848
Mn -0.5208 -3.7845 -1.8050
Mn -5.9456 0.1192 -1.4956
Mn -0.5668 -1.2688 2.1348
Mn -1.2737 -3.8232 1.2698
Mn -4.4245 -1.9897 -0.4900
Cu 0.0000 0.0000 0.0000
Ge -1.2389 -1.5299 -3.1571
Ge -5.4616 -2.2547 -2.7435
Ge -2.9478 -1.6872 1.5185
Ge -2.5622 -1.4907 5.8011
Ge 0.4125 -2.3625 0.0713

***

No. 10
10
Lattice="-3.4358 7.1959 -3.1453 -0.6314 -3.6752 -7.7184 -7.5848 -0.2693 -4.0113" Properties=species:S:1:pos:R:3 comment="PBE Rb2AgPbI6, relaxed" spacegroup="No. 139" total_energy_ry_per_atom=-0.188 total_magnetization_mub_per_fu=0.00 pbc="T T T"
Pb 0.0000 0.0000 0.0000
I -4.7407 0.7706 -4.7391
I -6.9114 2.4808 -10.1359
I -1.0445 0.9041 -2.7899
I -3.0228 2.6166 -8.0738
I -2.7156 4.4041 -4.3197
I -1.3516 -0.8834 -6.5440
Rb -6.5271 4.3435 -6.2942
Rb -5.1249 -1.0920 -8.5807
Ag -2.0336 1.7604 -5.4318

***

No. 11
10
Lattice="-0.3297 3.1692 2.8081 -3.7664 -1.5065 1.2579 4.8798 -6.0348 7.3838" Properties=species:S:1:pos:R:3 comment="PBE Tb2Al4IrAu3, relaxed" spacegroup="No. 115" total_energy_ry_per_atom=-0.370 formation_enthalpy_0k_ev_per_atom=-0.737 total_magnetization_mub_per_fu=0.00 pbc="T T T"
Tb 1.0883 0.0348 3.3003
Tb 1.7434 -5.2382 6.1165
Al -2.0481 0.8314 2.0330
Al 0.0000 0.0000 0.0000
Al 2.8986 -2.2040 6.0395
Al -0.0669 -2.9994 3.3773
Ir 0.3918 -2.1860 5.7249
Au 2.4399 -3.0174 3.6919
Au 4.0351 -3.6095 7.7592
Au -1.2034 -1.5940 1.6576

***

No. 12
11
Lattice="5.9989 0.0000 0.0000 -2.9994 5.1952 0.0000 0.0000 0.0000 11.4943" Properties=species:S:1:pos:R:3 comment="PBE Ho5Er5Th, relaxed" spacegroup="No. 187" total_energy_ry_per_atom=-0.329 formation_enthalpy_0k_ev_per_atom=0.360 total_magnetization_mub_per_fu=0.00 pbc="T T T"
Ho 1.5057 0.8693 5.7471
Ho 0.0000 0.0000 3.0191
Ho 2.9994 3.4566 5.7471
Ho 4.4932 0.8693 5.7471
Ho 0.0000 0.0000 8.4752
Er 2.9995 1.7317 1.7457
Er 2.9995 1.7317 9.7486
Er 0.0000 3.4635 3.7312
Er 0.0000 3.4635 7.7631
Er 0.0000 0.0000 0.0000
Th 0.0000 3.4635 0.0000

***

No. 13
7
Lattice="-3.5186 6.0419 2.5010 -6.4288 -2.6769 -2.5777 -6.3352 -2.1735 7.3614" Properties=species:S:1:pos:R:3 comment="PBE Rb4TeMo2, relaxed" spacegroup="No. 139" total_energy_ry_per_atom=-0.253 total_magnetization_mub_per_fu=0.11 pbc="T T T"
Mo -11.1489 -0.0381 6.4538
Mo -5.1336 1.2295 0.8308
Te 0.0000 0.0000 0.0000
Rb -10.5006 1.7983 2.9298
Rb -5.7820 -0.6068 4.3548
Rb -3.2144 -1.3384 -1.2889
Rb -1.7593 3.0209 1.2505

***

No. 14
14
Lattice="5.8047 0.0000 0.0406 0.0000 5.5074 0.0000 -2.2253 0.0000 6.7881" Properties=species:S:1:pos:R:3 comment="PBE AcPaCrN4, relaxed" spacegroup="No. 11" total_energy_ry_per_atom=-0.673 total_magnetization_mub_per_fu=1.95 pbc="T T T"
Ac 2.0521 4.1306 6.2918
Ac 1.5272 1.3769 0.5369
Pa 3.5101 4.1306 3.0545
Pa 0.0692 1.3769 3.7743
Cr 0.6714 4.1306 2.1905
Cr 2.9079 1.3769 4.6383
N 4.0730 2.7236 4.8353
N -0.4937 5.4773 1.9934
N -0.4937 2.7839 1.9934
N 4.0730 0.0302 4.8353
N 2.1876 4.1306 1.1254
N 1.3917 1.3769 5.7033
N 1.2969 4.1306 3.8644
N 2.2824 1.3769 2.9643

***

No. 15
10
Lattice="-3.3948 4.9699 -4.4663 0.0436 -4.9931 -5.5892 -2.7233 -1.0424 0.9100" Properties=species:S:1:pos:R:3 comment="PBE Ga2Ag2Pd, relaxed" spacegroup="No. 127" total_energy_ry_per_atom=-0.248 formation_enthalpy_0k_ev_per_atom=0.020 total_magnetization_mub_per_fu=0.00 pbc="T T T"
Ga -1.9113 -3.0217 -4.0544
Ga -3.6018 -1.3303 -7.1758
Ga -4.1631 1.9561 -5.0911
Ga -2.4727 0.2647 -1.9696
Pd 0.0000 0.0000 0.0000
Pd -1.6756 -0.0116 -5.0277
Ag -1.2100 -2.5051 -6.4907
Ag -2.9177 1.1540 -7.4096
Ag -2.1412 2.4819 -3.5647
Ag -0.4335 -1.1772 -2.6459

***

No. 16
7
Lattice="-2.1527 3.7062 -2.1673 -3.4722 -0.7896 -3.2229 -7.8757 1.2303 4.6050" Properties=species:S:1:pos:R:3 comment="PBE Li2Tm2ThSn2, relaxed" spacegroup="No. 166" total_energy_ry_per_atom=-0.323 formation_enthalpy_0k_ev_per_atom=-0.369 total_magnetization_mub_per_fu=0.00 pbc="T T T"
Li -5.1702 2.0055 -2.0784
Li -8.3305 2.1414 1.2931
Tm -5.5320 1.1295 2.1046
Tm -7.9687 3.0174 -2.8899
Th 0.0000 0.0000 0.0000
Sn -10.3054 3.1179 -0.3970
Sn -3.1953 1.0290 -0.3882

***

No. 17
5
Lattice="-3.9412 1.1023 -0.0582 -1.0876 -3.8410 0.9029 0.1816 0.8522 3.8442" Properties=species:S:1:pos:R:3 comment="PBE TlCuOF2, relaxed" spacegroup="No. 123" total_energy_ry_per_atom=-0.305 total_magnetization_mub_per_fu=0.67 pbc="T T T"
Tl -2.4236 -0.9433 2.3445
O 0.0908 0.4261 1.9221
Cu 0.0000 0.0000 0.0000
F -0.5438 -1.9205 0.4514
F -1.9706 0.5511 -0.0291

***

No. 18
6
Lattice="3.0998 -1.7436 -4.0598 4.1175 0.7276 -3.4128 5.2067 -2.9114 2.9303" Properties=species:S:1:pos:R:3 comment="PBE AgRh2, relaxed" spacegroup="No. 8" total_energy_ry_per_atom=-0.412 formation_enthalpy_0k_ev_per_atom=0.243 total_magnetization_mub_per_fu=0.00 pbc="T T T"
Ag 7.2000 -1.0165 -7.4440
Ag 4.1707 -1.3123 -1.5481
Rh 5.9316 -1.4602 -3.7535
Rh 10.0639 -2.7618 -5.2823
Rh 8.2617 -2.6043 -3.0490
Rh 6.7906 -2.9889 0.7345

***

No. 19
8
Lattice="-2.3063 -4.7363 2.3631 5.2915 -1.9412 1.2534 -1.7233 5.9748 3.2500" Properties=species:S:1:pos:R:3 comment="PBE CdGaCu2Se4, relaxed" spacegroup="No. 42" total_energy_ry_per_atom=-0.271 total_magnetization_mub_per_fu=0.00 pbc="T T T"
Cd -0.0002 0.0019 0.0038
Ga -0.2307 2.6356 5.0575
Cu -1.2686 -1.0488 3.7132
Cu 2.5303 0.3487 3.1583
Se 0.5324 0.3551 4.5373
Se 3.2111 -1.9711 2.9152
Se -0.3505 -3.2814 3.4354
Se -0.8689 3.4895 2.8398

***

No. 20
16
Lattice="-1.8752 6.8999 -5.1393 -6.2170 2.5493 5.6910 8.1242 -1.4055 2.6923" Properties=species:S:1:pos:R:3 comment="PBE Tb5Sc3, relaxed" spacegroup="No. 140" total_energy_ry_per_atom=-0.379 formation_enthalpy_0k_ev_per_atom=0.108 total_magnetization_mub_per_fu=0.24 pbc="T T T"
Tb 0.0000 0.0000 0.0000
Tb -4.0461 4.7246 0.2759
Tb -1.5706 4.9606 4.9427
Tb 0.8863 2.0917 4.7752
Tb 1.1697 5.0410 1.0879
Tb 2.4879 6.3619 -2.2003
Tb 1.6025 3.0831 -1.6987
Tb -0.8544 5.9520 -1.5312
Tb -1.1377 3.0027 2.1561
Tb -2.4559 1.6818 5.4443
Sc -2.0071 6.3842 1.7599
Sc 2.0390 1.6596 1.4841
Sc -4.2659 2.6261 2.9244
Sc -3.8264 6.8231 -2.3727
Sc -1.5586 2.8277 -1.0207
Sc -6.5337 6.6215 1.5724